BaCaHgSb2 | PBE | relaxed

Geometry as CIF:
```
data_BaCaHgSb2
_chemical_formula_sum 'Ba1 Ca1 Hg1 Sb2'
_space_group_name_H-M_alt 'P 4/m m m'
_space_group_IT_number 123
_space_group_name_Hall '-P 4 2'
_cell_length_a 6.268
_cell_length_b 6.268
_cell_length_c 6.845
_cell_angle_alpha 90.00
_cell_angle_beta 90.00
_cell_angle_gamma 90.00
loop_
_atom_site_label
_atom_site_type_symbol
_atom_site_fract_x
_atom_site_fract_y
_atom_site_fract_z
_atom_site_occupancy
Ba1 Ba 0.000 0.000 0.000 1
Ca1 Ca 0.000 0.000 0.500 1
Hg1 Hg 0.500 0.500 0.500 1
Sb1 Sb 0.000 0.500 0.000 1
```

Uncorrected formation energy: 0.585 eV/atom
Volume: 53.8 A^3/atom



BaCaHgSb | PBE | relaxed

Geometry as CIF:
```
data_BaCaHgSb
_chemical_formula_sum 'Ba4 Ca4 Hg4 Sb4'
_space_group_name_H-M_alt 'F -4 3 m'
_space_group_IT_number 216
_space_group_name_Hall 'F -4 2 3'
_cell_length_a 8.096
_cell_length_b 8.096
_cell_length_c 8.096
_cell_angle_alpha 90.00
_cell_angle_beta 90.00
_cell_angle_gamma 90.00
loop_
_atom_site_label
_atom_site_type_symbol
_atom_site_fract_x
_atom_site_fract_y
_atom_site_fract_z
_atom_site_occupancy
Ba1 Ba 0.000 0.000 0.000 1
Ca1 Ca 0.000 0.000 0.500 1
Hg1 Hg 0.250 0.250 0.250 1
Sb1 Sb 0.250 0.250 0.750 1
```

Uncorrected formation energy: -0.722 eV/atom
Volume: 33.2 A^3/atom



BaCaHgSe2 | PBE | relaxed

Geometry as CIF:
```
data_BaCaHgSe2
_chemical_formula_sum 'Ba1 Ca1 Hg1 Se2'
_space_group_name_H-M_alt 'P 4/m m m'
_space_group_IT_number 123
_space_group_name_Hall '-P 4 2'
_cell_length_a 6.072
_cell_length_b 6.072
_cell_length_c 6.917
_cell_angle_alpha 90.00
_cell_angle_beta 90.00
_cell_angle_gamma 90.00
loop_
_atom_site_label
_atom_site_type_symbol
_atom_site_fract_x
_atom_site_fract_y
_atom_site_fract_z
_atom_site_occupancy
Ba1 Ba 0.000 0.000 0.000 1
Ca1 Ca 0.000 0.000 0.500 1
Hg1 Hg 0.500 0.500 0.500 1
Se1 Se 0.000 0.500 0.000 1
```

Uncorrected formation energy: -0.018 eV/atom
Volume: 51.0 A^3/atom



BaCaSiHg2 | PBE | relaxed

Geometry as CIF:
```
data_BaCaSiHg2
_chemical_formula_sum 'Ba1 Ca1 Si1 Hg2'
_space_group_name_H-M_alt 'P 4/m m m'
_space_group_IT_number 123
_space_group_name_Hall '-P 4 2'
_cell_length_a 5.266
_cell_length_b 5.266
_cell_length_c 5.979
_cell_angle_alpha 90.00
_cell_angle_beta 90.00
_cell_angle_gamma 90.00
loop_
_atom_site_label
_atom_site_type_symbol
_atom_site_fract_x
_atom_site_fract_y
_atom_site_fract_z
_atom_site_occupancy
Ba1 Ba 0.000 0.000 0.000 1
Ca1 Ca 0.500 0.500 0.000 1
Si1 Si 0.000 0.000 0.500 1
Hg1 Hg 0.000 0.500 0.500 1
```

Uncorrected formation energy: 0.122 eV/atom
Volume: 33.2 A^3/atom



BaCa2Sn2Hg2 | PBE | relaxed

Geometry as CIF:
```
data_BaCa2Sn2Hg2
_chemical_formula_sum 'Ba3 Ca6 Sn6 Hg6'
_space_group_name_H-M_alt 'R -3 m'
_space_group_IT_number 166
_space_group_name_Hall '-R 3 2"'
_cell_length_a 5.1138
_cell_length_b 5.1138
_cell_length_c 28.9170
_cell_angle_alpha 90.00
_cell_angle_beta 90.00
_cell_angle_gamma 120.00
loop_
_atom_site_label
_atom_site_type_symbol
_atom_site_fract_x
_atom_site_fract_y
_atom_site_fract_z
_atom_site_occupancy
Ba1 Ba 0.0000 0.0000 0.0000 1
Ca1 Ca 0.0000 0.0000 0.1369 1
Sn1 Sn 0.0000 0.0000 0.2552 1
Hg1 Hg 0.0000 0.0000 0.4431 1
```

Energy relative to the elements: -0.53 eV per atom
Volume: 31.2 A^3/atom



Ba2CaSn3Hg12 | PBE | relaxed

Geometry as CIF:
```
data_Ba2CaSn3Hg12
_chemical_formula_sum 'Ba6 Ca3 Sn9 Hg36'
_space_group_name_H-M_alt 'R -3 m'
_space_group_IT_number 166
_space_group_name_Hall '-R 3 2"'
_cell_length_a 11.0512
_cell_length_b 11.0512
_cell_length_c 15.1373
_cell_angle_alpha 90.00
_cell_angle_beta 90.00
_cell_angle_gamma 120.00
loop_
_atom_site_label
_atom_site_type_symbol
_atom_site_fract_x
_atom_site_fract_y
_atom_site_fract_z
_atom_site_occupancy
Ba1 Ba 0.0000 0.0000 0.2187 1
Ca1 Ca 0.0000 0.0000 0.5000 1
Sn1 Sn 0.0000 0.5000 0.0000 1
Hg1 Hg 0.0101 0.5050 0.2062 1
Hg2 Hg 0.0372 0.5186 0.6003 1
```

Energy relative to the elements: -0.18 eV per atom
Volume: 29.6 A^3/atom



BaCaSn2Hg2 | PBE | relaxed

Geometry as CIF:
```
data_BaCaSn2Hg2
_chemical_formula_sum 'Ba1 Ca1 Sn2 Hg2'
_space_group_name_H-M_alt 'P -3 m 1'
_space_group_IT_number 164
_space_group_name_Hall '-P 3 2"'
_cell_length_a 4.9635
_cell_length_b 4.9635
_cell_length_c 8.6024
_cell_angle_alpha 90.00
_cell_angle_beta 90.00
_cell_angle_gamma 120.00
loop_
_atom_site_label
_atom_site_type_symbol
_atom_site_fract_x
_atom_site_fract_y
_atom_site_fract_z
_atom_site_occupancy
Ba1 Ba 0.0000 0.0000 0.0000 1
Ca1 Ca 0.0000 0.0000 0.5000 1
Sn1 Sn 0.3333 0.6667 0.7398 1
Hg1 Hg 0.3333 0.6667 0.3226 1
```

Energy relative to the elements: -0.55 eV per atom
Volume: 30.6 A^3/atom



Ba2CaSn4Hg3 | PBE | relaxed

Geometry as CIF:
```
data_Ba2CaSn4Hg3
_chemical_formula_sum 'Ba2 Ca1 Sn4 Hg3'
_space_group_name_H-M_alt 'P -4 m 2'
_space_group_IT_number 115
_cell_length_a 4.959
_cell_length_b 4.959
_cell_length_c 12.866
_cell_angle_alpha 90.00
_cell_angle_beta 90.00
_cell_angle_gamma 90.00
loop_
_space_group_symop_operation_xyz
'x,y,z'
'y,-x,-z'
'-x,-y,z'
'-y,x,-z'
'-x,y,z'
'-y,-x,-z'
'x,-y,z'
'y,x,-z'
loop_
_atom_site_label
_atom_site_type_symbol
_atom_site_fract_x
_atom_site_fract_y
_atom_site_fract_z
_atom_site_occupancy
Ba1 Ba 0.000 0.500 0.240 1
Ca1 Ca 0.000 0.000 0.500 1
Sn1 Sn 0.000 0.000 0.000 1
Sn2 Sn 0.000 0.500 0.645 1
Sn3 Sn 0.500 0.500 0.000 1
Hg1 Hg 0.000 0.500 0.865 1
Hg2 Hg 0.500 0.500 0.500 1
```

Energy relative to the elements: -0.47 eV per atom
Volume: 31.6 A^3/atom



no.,uncorrected energy (eV/atom)
1,-1.909
2,-2.810
3,-2.258
4,-1.868
5,-2.608
6,-1.378
7,-2.635
8,-2.747